! Li7Fe3Si2O12 (GGA+U, optimized geometry); values from VASP
&SYSTEM
  ibrav = 0, nat = 24, ntyp = 4
/
ATOMIC_SPECIES
Li 6.94 Li.upf
Fe 55.84 Fe.upf
Si 28.09 Si.upf
O 16.00 O.upf
CELL_PARAMETERS angstrom
2.496 -4.267 0.000
2.496 4.267 0.000
-1.504 0.000 9.700
ATOMIC_POSITIONS crystal
Li 0.000 0.000 0.000
Li 0.083 0.403 0.243
Li 0.248 0.248 0.757
Li 0.403 0.083 0.243
Li 0.597 0.917 0.757
Li 0.752 0.752 0.243
Li 0.917 0.597 0.757
Fe 0.164 0.836 0.500
Fe 0.500 0.500 0.500
Fe 0.836 0.164 0.500
Si 0.333 0.667 0.000
Si 0.667 0.333 0.000
O 0.032 0.657 0.103
O 0.108 0.108 0.373
O 0.216 0.540 0.616
O 0.343 0.968 0.897
O 0.407 0.407 0.103
O 0.460 0.784 0.384
O 0.540 0.216 0.616
O 0.593 0.593 0.897
O 0.657 0.032 0.103
O 0.784 0.460 0.384
O 0.892 0.892 0.627
O 0.968 0.343 0.897
! Total magnetic moment: 0.54 μB/atom
! VASP energy: -149.03 eV for the cell shown
! Space group: C2/m, No. 12